Computed, not measured: a relaxed Al3VBi crystal at the GGA-PBE level of DFT.

Cell: 4.859 4.859 4.859 Å, 90.00 90.00 90.00°
Each line ends with the local moment (μB).
Sites, in units of the cell vectors:
Bi: 0.500 0.500 0.500  -0.01
Al: 0.000 0.500 0.000  0.00
Al: 0.000 0.000 0.500  0.00
Al: 0.500 0.000 0.000  0.00
V: 0.000 0.000 0.000  0.10

Calculated values
E, Ry/atom: -0.3098
Crystal system: cubic
Formation enthalpy at 0 K, eV per atom: 0.63

Computed, not measured: a relaxed SrMg2 crystal at the GGA-PBE level of DFT.

Cell: 9.446 9.446 5.416 Å, 90.00 90.00 155.09°
Sites, in units of the cell vectors:
Sr: 0.108 0.892 0.500
Sr: 0.801 0.199 0.500
Mg: 0.965 0.035 0.000
Mg: 0.333 0.667 0.000
Mg: 0.678 0.322 0.000
Mg: 0.449 0.551 0.500

Calculated values
E, Ry/atom: -0.1124
Crystal system: orthorhombic
Formation enthalpy at 0 K, eV per atom: 0.09